# 1
DFT (GGA-PBE) results for an optimized crystal structure of Dy6Sb3SeS2.

Cell lengths 7.243, 12.520, 7.243 Å; angles 90.00, 109.48, 90.00 degrees
Space group C2/m (No. 12)
Inequivalent atoms, fractional coordinates:
Dy 0.233 0.000 0.225 [4 per cell]
Dy 0.248 0.329 0.230 [8 per cell]
Sb 0.000 0.000 0.500 [2 per cell]
Sb 0.000 0.337 0.500 [4 per cell]
Se 0.000 0.500 0.000 [2 per cell]
S 0.000 0.167 0.000 [4 per cell]

Computed properties:
Formation energy (no corrections) = -1.492 eV per atom
Magnetization = 0.000 μB/cell
Density = 7.96 Mg/m³
D(E_F) = 0.38 states/eV/atom

# 2
DFT (GGA-PBE) results for an optimized crystal structure of CdAgBiPt.

Cell lengths 6.939, 6.939, 6.939 Å; angles 90.00, 90.00, 90.00 degrees
Space group F-43m (No. 216)
Inequivalent atoms, fractional coordinates:
Cd 0.000 0.000 0.000 [4 per cell]
Ag 0.250 0.250 0.750 [4 per cell]
Bi 0.000 0.000 0.500 [4 per cell]
Pt 0.250 0.250 0.250 [4 per cell]

Computed properties:
DFT total energy = -3.413 eV per atom
Magnetization = 0.000 μB/cell
Density = 12.41 Mg/m³
D(E_F) = 0.87 states/eV/atom

# 3
DFT (GGA-PBE) results for an optimized crystal structure of Ac2Tb7Y3.

Cell lengths 6.435, 3.603, 17.848 Å; angles 90.00, 96.24, 90.00 degrees
Space group P2/m (No. 10)
Inequivalent atoms, fractional coordinates:
Ac 0.059 0.000 0.174 [2 per cell]
Tb 0.000 0.500 0.500 [1 per cell]
Tb 0.229 0.000 0.663 [2 per cell]
Tb 0.261 0.000 0.999 [2 per cell]
Tb 0.279 0.500 0.341 [2 per cell]
Y 0.452 0.500 0.841 [2 per cell]
Y 0.500 0.000 0.500 [1 per cell]

Computed properties:
DFT total energy = -4.899 eV per atom
Magnetization = 0.000 μB/cell
Density = 7.40 Mg/m³
D(E_F) = 1.53 states/eV/atom

# 4
DFT (GGA-PBE) results for an optimized crystal structure of TlGe2Au2.

Cell lengths 8.178, 10.874, 10.950 Å; angles 90.00, 90.00, 90.00 degrees
Space group Fddd (No. 70, origin choice 2)
Inequivalent atoms, fractional coordinates:
Tl 0.125 0.125 0.125 [8 per cell]
Ge 0.125 0.010 0.625 [16 per cell]
Au 0.125 0.125 0.391 [16 per cell]

Computed properties:
Energy relative to the lowest polymorph listed for this composition = 0.0000 eV per atom
Magnetization = 0.000 μB/cell
Density = 10.14 Mg/m³
D(E_F) = 0.26 states/eV/atom

# 5
DFT (GGA-PBE) results for an optimized crystal structure of NpMnTc2.

Cell lengths 4.404, 4.404, 3.265 Å; angles 90.00, 90.00, 90.00 degrees
Space group P4/mmm (No. 123)
Inequivalent atoms, fractional coordinates:
Np 0.000 0.000 0.000 [1 per cell]
Mn 0.500 0.500 0.000 [1 per cell]
Tc 0.000 0.500 0.500 [2 per cell]

Computed properties:
Energy relative to the lowest polymorph listed for this composition = 0.0000 eV per atom
Magnetization = 1.820 μB/cell
Density = 12.80 Mg/m³
D(E_F) = 1.34 states/eV/atom

# 6
DFT (GGA-PBE) results for an optimized crystal structure of Os3RhO.

Cell lengths 4.711, 4.711, 4.711 Å; angles 90.00, 90.00, 90.00 degrees
Space group Pm-3m (No. 221)
Inequivalent atoms, fractional coordinates:
Os 0.000 0.000 0.500 [3 per cell]
Rh 0.000 0.000 0.000 [1 per cell]
O 0.500 0.500 0.500 [1 per cell]

Computed properties:
Energy relative to the lowest polymorph listed for this composition = 2.2186 eV per atom
Formation energy (no corrections) = 3.049 eV per atom
Magnetization = 5.775 μB/cell
Density = 10.95 Mg/m³
D(E_F) = 1.35 states/eV/atom

# 7
DFT (GGA-PBE) results for an optimized crystal structure of Pu3Sb.

Cell lengths 3.349, 5.312, 5.599 Å; angles 90.00, 90.00, 90.00 degrees
Space group Pmm2 (No. 25)
Inequivalent atoms, fractional coordinates:
Pu 0.000 0.000 0.000 [1 per cell]
Pu 0.000 0.500 0.376 [1 per cell]
Pu 0.500 0.500 0.856 [1 per cell]
Sb 0.500 0.000 0.509 [1 per cell]

Computed properties:
Energy relative to the lowest polymorph listed for this composition = 0.1659 eV per atom
Formation energy (no corrections) = -0.155 eV per atom
Magnetization = 5.146 μB/cell
Density = 14.23 Mg/m³
D(E_F) = 5.09 states/eV/atom

# 8
DFT (GGA-PBE) results for an optimized crystal structure of RbTcPb3.

Cell lengths 6.006, 6.006, 6.006 Å; angles 90.00, 90.00, 90.00 degrees
Space group Pm-3m (No. 221)
Inequivalent atoms, fractional coordinates:
Rb 0.000 0.000 0.000 [1 per cell]
Tc 0.500 0.500 0.500 [1 per cell]
Pb 0.000 0.000 0.500 [3 per cell]

Computed properties:
Energy relative to the lowest polymorph listed for this composition = 1.6941 eV per atom
Magnetization = 3.751 μB/cell
Density = 6.17 Mg/m³
D(E_F) = 1.03 states/eV/atom

# 9
DFT (GGA-PBE) results for an optimized crystal structure of ScAlClO2.

Cell lengths 4.061, 4.061, 5.195 Å; angles 90.00, 90.00, 90.00 degrees
Space group P4/mmm (No. 123)
Inequivalent atoms, fractional coordinates:
Sc 0.000 0.000 0.000 [1 per cell]
Al 0.500 0.500 0.500 [1 per cell]
Cl 0.000 0.000 0.500 [1 per cell]
O 0.000 0.500 0.000 [2 per cell]

Computed properties:
Formation energy (no corrections) = -1.470 eV per atom
Magnetization = 0.001 μB/cell
Density = 2.70 Mg/m³
D(E_F) = 0.67 states/eV/atom

Question: Which of these has the highest magnetization?
Answer: Os3RhO

Repeat the third record exactly.
DFT (GGA-PBE) results for an optimized crystal structure of Ac2Tb7Y3.

Cell lengths 6.435, 3.603, 17.848 Å; angles 90.00, 96.24, 90.00 degrees
Space group P2/m (No. 10)
Inequivalent atoms, fractional coordinates:
Ac 0.059 0.000 0.174 [2 per cell]
Tb 0.000 0.500 0.500 [1 per cell]
Tb 0.229 0.000 0.663 [2 per cell]
Tb 0.261 0.000 0.999 [2 per cell]
Tb 0.279 0.500 0.341 [2 per cell]
Y 0.452 0.500 0.841 [2 per cell]
Y 0.500 0.000 0.500 [1 per cell]

Computed properties:
DFT total energy = -4.899 eV per atom
Magnetization = 0.000 μB/cell
Density = 7.40 Mg/m³
D(E_F) = 1.53 states/eV/atom

Question: magnetization of number 3 (Ac2Tb7Y3)?
Answer: 0.000 μB/cell

Question: Which of these has the lowest density?
Answer: ScAlClO2